# GGA-PBE BaTlW2, optimized geometry
data_BaTlW2
_symmetry_space_group_name_H-M 'P 1'
_symmetry_Int_Tables_number 1
_cell_length_a 5.5259
_cell_length_b 5.5259
_cell_length_c 6.2920
_cell_angle_alpha 100.86
_cell_angle_beta 100.86
_cell_angle_gamma 36.00
loop_
_symmetry_equiv_pos_as_xyz
'x,y,z'
loop_
_atom_site_label
_atom_site_fract_x
_atom_site_fract_y
_atom_site_fract_z
Ba1 0.0000 0.0000 0.0000
Tl1 0.5000 0.5000 0.5000
W1 0.2301 0.2301 0.6292
W2 0.7699 0.7699 0.3708
# ΔH_f (0 K)   4.069 eV per formula unit
# Space group   C2/m (12)
# Fermi-level density of states   3.483 states/eV/f.u.
# Theoretical density   10.6 Mg/m³


# GGA-PBE BaTlW2, optimized geometry
data_BaTlW2
_symmetry_space_group_name_H-M 'P 1'
_symmetry_Int_Tables_number 1
_cell_length_a 6.2195
_cell_length_b 6.2195
_cell_length_c 2.9417
_cell_angle_alpha 102.01
_cell_angle_beta 102.01
_cell_angle_gamma 119.71
loop_
_symmetry_equiv_pos_as_xyz
'x,y,z'
loop_
_atom_site_label
_atom_site_fract_x
_atom_site_fract_y
_atom_site_fract_z
Ba1 0.0000 0.0000 0.0000
Tl1 0.5000 0.5000 0.0000
W1 0.0000 0.5000 0.5000
W2 0.5000 0.0000 0.5000
# ΔH_f (0 K)   6.006 eV per formula unit
# Space group   C2/m (12)
# Fermi-level density of states   3.599 states/eV/f.u.
# Theoretical density   13.1 Mg/m³


Copy entry 2 word for word.
# GGA-PBE BaTlW2, optimized geometry
data_BaTlW2
_symmetry_space_group_name_H-M 'P 1'
_symmetry_Int_Tables_number 1
_cell_length_a 6.2195
_cell_length_b 6.2195
_cell_length_c 2.9417
_cell_angle_alpha 102.01
_cell_angle_beta 102.01
_cell_angle_gamma 119.71
loop_
_symmetry_equiv_pos_as_xyz
'x,y,z'
loop_
_atom_site_label
_atom_site_fract_x
_atom_site_fract_y
_atom_site_fract_z
Ba1 0.0000 0.0000 0.0000
Tl1 0.5000 0.5000 0.0000
W1 0.0000 0.5000 0.5000
W2 0.5000 0.0000 0.5000
# ΔH_f (0 K)   6.006 eV per formula unit
# Space group   C2/m (12)
# Fermi-level density of states   3.599 states/eV/f.u.
# Theoretical density   13.1 Mg/m³